[1]
# Fe2Pd3Au3 (meta-GGA SCAN, PBEsol geometry)
data_Fe2Pd3Au3
_chemical_formula_sum 'Fe2 Pd3 Au3'
_cell_length_a 3.917
_cell_length_b 3.943
_cell_length_c 7.698
_cell_angle_alpha 90.00
_cell_angle_beta 90.00
_cell_angle_gamma 90.00
_space_group_name_H-M_alt 'P m m m'
_space_group_IT_number 47
loop_
_space_group_symop_operation_xyz
'x,y,z'
'-x,-y,-z'
'-x,-y,z'
'x,y,-z'
'x,-y,-z'
'-x,y,z'
'-x,y,-z'
'x,-y,z'
loop_
_atom_site_label
_atom_site_fract_x
_atom_site_fract_y
_atom_site_fract_z
_atom_site_occupancy
Fe1 0.000 0.000 0.242 1
Pd1 0.000 0.500 0.000 1
Pd2 0.500 0.000 0.000 1
Pd3 0.500 0.000 0.500 1
Au1 0.000 0.500 0.500 1
Au2 0.500 0.500 0.246 1
# Crystal system: orthorhombic
# ΔE_f (meV per atom): -127
# Size of the total moment (μB per cell): 8.01
# Final energy (eV/atom): -42.883

***

[2]
# Fe2PtAu (meta-GGA SCAN, PBEsol geometry)
data_Fe2PtAu
_chemical_formula_sum 'Fe8 Pt4 Au4'
_cell_length_a 6.075
_cell_length_b 6.075
_cell_length_c 6.075
_cell_angle_alpha 90.00
_cell_angle_beta 90.00
_cell_angle_gamma 90.00
_space_group_name_H-M_alt 'F -4 3 m'
_space_group_IT_number 216
_space_group_name_Hall 'F -4 2 3'
loop_
_atom_site_label
_atom_site_fract_x
_atom_site_fract_y
_atom_site_fract_z
_atom_site_occupancy
Fe1 0.000 0.000 0.000 1
Fe2 0.250 0.250 0.250 1
Pt1 0.000 0.000 0.500 1
Au1 0.250 0.250 0.750 1
# Crystal system: cubic
# ΔE_f (meV per atom): -97
# Size of the total moment (μB per cell): 25.41
# Offset from the most stable computed form (meV/atom): 153
# Final energy (eV/atom): -43.999

***

[3]
# Fe2PtAu (meta-GGA SCAN, PBEsol geometry)
data_Fe2PtAu
_chemical_formula_sum 'Fe4 Pt2 Au2'
_cell_length_a 8.976
_cell_length_b 2.741
_cell_length_c 4.634
_cell_angle_alpha 90.00
_cell_angle_beta 104.43
_cell_angle_gamma 90.00
_space_group_name_H-M_alt 'C 1 m 1'
_space_group_IT_number 8
loop_
_space_group_symop_operation_xyz
'x,y,z'
'x,-y,z'
'x+1/2,y+1/2,z'
'x+1/2,-y+1/2,z'
loop_
_atom_site_label
_atom_site_fract_x
_atom_site_fract_y
_atom_site_fract_z
_atom_site_occupancy
Fe1 0.000 0.000 0.000 1
Fe2 0.223 0.500 0.264 1
Pt1 0.249 0.000 0.790 1
Au1 0.480 0.000 0.486 1
# Crystal system: monoclinic
# ΔE_f (meV per atom): -194
# Size of the total moment (μB per cell): 13.00
# Offset from the most stable computed form (meV/atom): 56
# Final energy (eV/atom): -44.096

***

[4]
# Fe2PtAu (meta-GGA SCAN, PBEsol geometry)
data_Fe2PtAu
_chemical_formula_sum 'Fe2 Pt1 Au1'
_cell_length_a 2.698
_cell_length_b 2.698
_cell_length_c 7.612
_cell_angle_alpha 90.00
_cell_angle_beta 90.00
_cell_angle_gamma 90.00
_space_group_name_H-M_alt 'P 4/m m m'
_space_group_IT_number 123
_space_group_name_Hall '-P 4 2'
loop_
_atom_site_label
_atom_site_fract_x
_atom_site_fract_y
_atom_site_fract_z
_atom_site_occupancy
Fe1 0.000 0.000 0.241 1
Pt1 0.500 0.500 0.000 1
Au1 0.500 0.500 0.500 1
# Crystal system: tetragonal
# ΔE_f (meV per atom): -244
# Size of the total moment (μB per cell): 6.60
# Offset from the most stable computed form (meV/atom): 6
# Final energy (eV/atom): -44.146

***

Q: What is the formula in the first record?
A: Fe2Pd3Au3